Entry 1:
A plane-wave DFT calculation with GGA-PBE was carried out for a geometry-optimized K3Cu2RhF9 structure.

## Properties
* uncorrected energy: -66.6 eV/f.u.
* D(E_F): 2.815 states/eV/f.u.
* formation energy from raw total energies: -30.89 eV per formula unit

Cell: 5.8627 5.8627 7.1817 Å, 90.00 90.00 120.00°
Atoms (fractional coordinates):
Cu 0.6667 0.3333 0.8401
Rh 0.0000 0.0000 0.5000
F 0.5000 0.5000 0.0000
Cu 0.3333 0.6667 0.1599
F 0.0000 0.5000 0.0000
K 0.6667 0.3333 0.3243
F 0.8341 0.1659 0.6644
F 0.1659 0.3317 0.3356
F 0.1659 0.8341 0.3356
K 0.0000 0.0000 0.0000
F 0.6683 0.8341 0.3356
K 0.3333 0.6667 0.6757
F 0.5000 0.0000 0.0000
F 0.8341 0.6683 0.6644
F 0.3317 0.1659 0.6644

***

Entry 2:
A plane-wave DFT calculation with GGA-PBE was carried out for a geometry-optimized KCuRuF6 structure.

## Properties
* uncorrected energy: -42.7 eV/f.u.
* D(E_F): 6.786 states/eV/f.u.
* formation energy from raw total energies: -17.02 eV per formula unit

Cell: 5.5632 5.5632 5.5601 Å, 90.01 89.99 59.97°
Atoms (fractional coordinates):
F 0.6233 0.0204 0.3080
Cu 0.6666 0.6667 0.5000
K 0.0000 0.0001 0.0000
F 0.0204 0.6234 0.6920
F 0.3562 0.6233 0.3081
F 0.0203 0.3564 0.3082
F 0.6233 0.3562 0.6918
Ru 0.3333 0.3333 0.5000
F 0.3563 0.0203 0.6918

***

Entry 3:
A plane-wave DFT calculation with GGA-PBE was carried out for a geometry-optimized K2CuRuF6 structure.

## Properties
* uncorrected energy: -46.6 eV/f.u.
* D(E_F): 13.566 states/eV/f.u.
* formation energy from raw total energies: -19.85 eV per formula unit

Cell: 5.9238 5.9240 8.4218 Å, 90.00 90.00 90.00°
Atoms (fractional coordinates):
K 0.5000 0.7499 0.2500
F 0.5000 0.2499 0.2556
Cu 0.5000 0.2501 0.0000
F 0.7459 0.0038 0.5000
Ru 0.0000 0.7502 0.0000
F 0.5000 0.2499 0.7444
F 0.7458 0.4958 0.5000
F 0.0000 0.7501 0.2444
F 0.2459 0.9962 0.0000
F 0.2542 0.4958 0.5000
Cu 0.0000 0.7499 0.5000
F 0.7542 0.5042 0.0000
K 0.0000 0.2501 0.7500
F 0.2458 0.5042 0.0000
Ru 0.5000 0.2498 0.5000
F 0.2541 0.0038 0.5000
K 0.0000 0.2501 0.2500
F 0.7541 0.9962 0.0000
F 0.0000 0.7501 0.7556
K 0.5000 0.7499 0.7500

***

Entry 4:
A plane-wave DFT calculation with GGA-PBE was carried out for a geometry-optimized K2Cu3RuF12 structure.

## Properties
* uncorrected energy: -80.5 eV/f.u.
* D(E_F): 9.075 states/eV/f.u.
* formation energy from raw total energies: -34.27 eV per formula unit

Cell: 7.9114 7.9114 7.9114 Å, 52.80 52.80 52.80°
Atoms (fractional coordinates):
F 0.0799 0.6821 0.0799
Cu 0.0000 0.5000 0.0000
F 0.3274 0.9197 0.3274
F 0.3274 0.3274 0.9197
Ru 0.0000 0.0000 0.0000
F 0.9201 0.9201 0.3179
F 0.0803 0.6726 0.6726
F 0.9197 0.3274 0.3274
F 0.0799 0.0799 0.6821
F 0.9201 0.3179 0.9201
Cu 0.5000 0.0000 0.0000
K 0.4020 0.4020 0.4020
F 0.6821 0.0799 0.0799
F 0.6726 0.0803 0.6726
F 0.3179 0.9201 0.9201
Cu 0.0000 0.0000 0.5000
F 0.6726 0.6726 0.0803
K 0.5980 0.5980 0.5980

***

Entry 5:
A plane-wave DFT calculation with GGA-PBE was carried out for a geometry-optimized K2Sc3CuF12 structure.

## Properties
* uncorrected energy: -107.8 eV/f.u.
* formation energy from raw total energies: -60.07 eV per formula unit

Cell: 7.4483 7.4483 7.4483 Å, 63.32 63.32 63.32°
Atoms (fractional coordinates):
F 0.3028 0.3028 0.9245
Sc 0.5000 0.0000 0.0000
F 0.6972 0.0755 0.6972
F 0.1008 0.1008 0.6337
F 0.8992 0.3663 0.8992
F 0.3028 0.9245 0.3028
F 0.1008 0.6337 0.1008
K 0.3532 0.3532 0.3532
F 0.8992 0.8992 0.3663
Sc 0.0000 0.0000 0.5000
K 0.6468 0.6468 0.6468
F 0.6972 0.6972 0.0755
Sc 0.0000 0.5000 0.0000
F 0.0755 0.6972 0.6972
Cu 0.0000 0.0000 0.0000
F 0.9245 0.3028 0.3028
F 0.6337 0.1008 0.1008
F 0.3663 0.8992 0.8992

***

Entry 6:
A plane-wave DFT calculation with GGA-PBE was carried out for a geometry-optimized K2ScCuF6 structure.

## Properties
* uncorrected energy: -52.9 eV/f.u.
* offset from the most stable computed form: 0.0 kJ/mol of atoms
* formation energy from raw total energies: -29.08 eV per formula unit

Cell: 6.3321 6.3325 7.9863 Å, 90.00 90.00 90.00°
Atoms (fractional coordinates):
F 0.0000 0.7500 0.7440
F 0.0000 0.7500 0.2560
F 0.2746 0.4757 0.5000
Sc 0.5000 0.2502 0.5000
F 0.7744 0.9753 0.0000
K 0.5000 0.7500 0.2500
K 0.0000 0.2500 0.7500
F 0.5000 0.2500 0.2440
F 0.5000 0.2500 0.7560
F 0.2254 0.5243 0.0000
F 0.7746 0.5243 0.0000
K 0.0000 0.2500 0.2500
Cu 0.5000 0.2499 0.0000
K 0.5000 0.7500 0.7500
F 0.2256 0.9753 0.0000
Cu 0.0000 0.7501 0.5000
F 0.7256 0.0247 0.5000
F 0.2744 0.0247 0.5000
F 0.7254 0.4757 0.5000
Sc 0.0000 0.7498 0.0000

***

- Which formula does entry 5 have?
  K2Sc3CuF12

***

- Which value of uncorrected energy does entry 1 give?
  -66.6 eV/f.u.

***

- Which formula does entry 3 have?
  K2CuRuF6

***

Copy entry 1 word for word.
A plane-wave DFT calculation with GGA-PBE was carried out for a geometry-optimized K3Cu2RhF9 structure.

## Properties
* uncorrected energy: -66.6 eV/f.u.
* D(E_F): 2.815 states/eV/f.u.
* formation energy from raw total energies: -30.89 eV per formula unit

Cell: 5.8627 5.8627 7.1817 Å, 90.00 90.00 120.00°
Atoms (fractional coordinates):
Cu 0.6667 0.3333 0.8401
Rh 0.0000 0.0000 0.5000
F 0.5000 0.5000 0.0000
Cu 0.3333 0.6667 0.1599
F 0.0000 0.5000 0.0000
K 0.6667 0.3333 0.3243
F 0.8341 0.1659 0.6644
F 0.1659 0.3317 0.3356
F 0.1659 0.8341 0.3356
K 0.0000 0.0000 0.0000
F 0.6683 0.8341 0.3356
K 0.3333 0.6667 0.6757
F 0.5000 0.0000 0.0000
F 0.8341 0.6683 0.6644
F 0.3317 0.1659 0.6644